(1)
A relaxed structure of KNdSc4S8, computed with PBE-GGA.

a b c (Å): 7.7872 7.7872 20.2090
angles (deg): 90.00 90.00 120.00
With the nearest neighbours (Å) after each atom.
Space group R3m (No. 160, hexagonal axes)
Inequivalent atoms, fractional coordinates:
K 0.0000 0.0000 0.0000 (multiplicity 3)  4 S 2.76-2.81
Nd 0.0000 0.0000 0.6397 (multiplicity 3)  6 S 2.77-2.90
Sc 0.0000 0.0000 0.2622 (multiplicity 3)  4 S 2.49-2.63
Sc 0.1735 0.3470 0.4665 (multiplicity 9)  4 S 2.49-2.78
S 0.0000 0.0000 0.3922 (multiplicity 3)  4 Sc 2.63-2.78
S 0.0000 0.0000 0.8634 (multiplicity 3)  3 Sc 2.51, 1 K 2.76
S 0.0326 0.5163 0.3999 (multiplicity 9)  2 Sc 2.49, 1 Nd 2.77
S 0.1698 0.3396 0.2135 (multiplicity 9)  1 Sc 2.49

- formation energy from raw total energies (eV/atom) = -1.76

***

(2)
A relaxed structure of K4Nd3ScS8, computed with PBE-GGA.

a b c (Å): 8.2256 8.2256 22.1496
angles (deg): 90.00 90.00 120.00
With the nearest neighbours (Å) after each atom.
Space group R-3m (No. 166, hexagonal axes)
Inequivalent atoms, fractional coordinates:
K 0.0000 0.0000 0.0000 (multiplicity 3)  6 S 3.34
K 0.0000 0.5000 0.0000 (multiplicity 9)  6 S 3.19-3.20
Nd 0.0000 0.5000 0.5000 (multiplicity 9)  6 S 2.84-2.86
Sc 0.0000 0.0000 0.5000 (multiplicity 3)  6 S 2.69
S 0.0000 0.0000 0.2368 (multiplicity 6)  3 Nd 2.84
S 0.0180 0.5090 0.2337 (multiplicity 18)  1 Sc 2.69, 2 Nd 2.86

- formation energy from raw total energies (eV/atom) = -1.81

***

(3)
A relaxed structure of K3NdSc2S6, computed with PBE-GGA.

a b c (Å): 6.8645 11.8934 7.6938
angles (deg): 90.00 107.39 90.00
With the nearest neighbours (Å) after each atom.
Space group C2/m (No. 12)
Inequivalent atoms, fractional coordinates:
K 0.0000 0.0000 0.0000 (multiplicity 2)  6 S 3.10-3.24
K 0.0000 0.3364 0.0000 (multiplicity 4)  6 S 3.11-3.25
Nd 0.0000 0.5000 0.5000 (multiplicity 2)  6 S 2.83
Sc 0.0000 0.1671 0.5000 (multiplicity 4)  6 S 2.65
S 0.2116 0.0000 0.6964 (multiplicity 4)  2 Sc 2.65, 1 Nd 2.83
S 0.2429 0.3229 0.6969 (multiplicity 8)  2 Sc 2.65, 1 Nd 2.83

- formation energy from raw total energies (eV/atom) = -1.77

***

(4)
A relaxed structure of KNdSiS4, computed with PBE-GGA.

a b c (Å): 6.5594 6.6273 8.8064
angles (deg): 90.00 106.97 90.00
With the nearest neighbours (Å) after each atom.
Space group P2_1/m (No. 11)
Inequivalent atoms, fractional coordinates:
K 0.2262 0.2500 0.4336 (multiplicity 2)  8 S 3.30-3.50
Nd 0.2706 0.2500 0.9489 (multiplicity 2)  6 S 2.86-2.93
Si 0.2806 0.7500 0.1791 (multiplicity 2)  4 S 2.11-2.14
S 0.0850 0.7500 0.3314 (multiplicity 2)  1 Si 2.11
S 0.0971 0.7500 0.9350 (multiplicity 2)  1 Si 2.14
S 0.4951 0.0006 0.2183 (multiplicity 4)  1 Si 2.14

- formation energy from raw total energies (eV/atom) = -1.43

***

(5)
A relaxed structure of K2NdSmS4, computed with PBE-GGA.

a b c (Å): 7.2238 4.1697 7.7770
angles (deg): 90.00 108.01 90.00
With the nearest neighbours (Å) after each atom.
Space group P2/m (No. 10)
Inequivalent atoms, fractional coordinates:
K 0.0000 0.0000 0.0000 (multiplicity 1)  6 S 3.25
K 0.5000 0.5000 0.0000 (multiplicity 1)  6 S 3.23
Nd 0.0000 0.5000 0.5000 (multiplicity 1)  6 S 2.86-2.87
Sm 0.5000 0.0000 0.5000 (multiplicity 1)  6 S 2.84
S 0.2383 0.0000 0.7071 (multiplicity 2)  1 Sm 2.84, 2 Nd 2.86
S 0.2675 0.5000 0.2941 (multiplicity 2)  2 Sm 2.84, 1 Nd 2.87

- formation energy from raw total energies (eV/atom) = -1.86

***

(6)
A relaxed structure of KNdSm2S4, computed with PBE-GGA.

a b c (Å): 7.1387 4.0543 7.1641
angles (deg): 90.00 108.70 90.00
With the nearest neighbours (Å) after each atom.
Space group P2/m (No. 10)
Inequivalent atoms, fractional coordinates:
K 0.0000 0.0000 0.0000 (multiplicity 1)  6 S 2.98-3.02
Nd 0.5000 0.5000 0.0000 (multiplicity 1)  6 S 2.93
Sm 0.0000 0.5000 0.5000 (multiplicity 1)  6 S 2.89
Sm 0.5000 0.0000 0.5000 (multiplicity 1)  6 S 2.80-2.83
S 0.2529 0.0000 0.7398 (multiplicity 2)  3 Sm 2.83-2.89, 2 Nd 2.93, 1 K 2.98
S 0.2659 0.5000 0.2695 (multiplicity 2)  3 Sm 2.80-2.89, 1 Nd 2.93, 2 K 3.02

- formation energy from raw total energies (eV/atom) = -1.90

***

(7)
A relaxed structure of K3Nd2SmS6, computed with PBE-GGA.

a b c (Å): 7.2394 12.5372 7.7808
angles (deg): 90.00 108.07 90.00
With the nearest neighbours (Å) after each atom.
Space group C2/m (No. 12)
Inequivalent atoms, fractional coordinates:
K 0.0000 0.0000 0.0000 (multiplicity 2)  6 S 3.24-3.26
K 0.0000 0.3331 0.0000 (multiplicity 4)  6 S 3.24-3.26
Nd 0.0000 0.1666 0.5000 (multiplicity 4)  6 S 2.87
Sm 0.0000 0.5000 0.5000 (multiplicity 2)  6 S 2.84
S 0.2341 0.3348 0.7068 (multiplicity 8)  1 Sm 2.84, 2 Nd 2.87
S 0.2387 0.0000 0.7068 (multiplicity 4)  1 Sm 2.84, 2 Nd 2.87

- formation energy from raw total energies (eV/atom) = -1.86

***

(8)
A relaxed structure of K3NdSm2S6, computed with PBE-GGA.

a b c (Å): 7.2072 12.4833 7.7744
angles (deg): 90.00 108.00 90.00
With the nearest neighbours (Å) after each atom.
Space group C2/m (No. 12)
Inequivalent atoms, fractional coordinates:
K 0.0000 0.0000 0.0000 (multiplicity 2)  6 S 3.22-3.25
K 0.0000 0.3335 0.0000 (multiplicity 4)  6 S 3.22-3.25
Nd 0.0000 0.5000 0.5000 (multiplicity 2)  6 S 2.86
Sm 0.0000 0.1667 0.5000 (multiplicity 4)  6 S 2.84
S 0.2324 0.0000 0.7062 (multiplicity 4)  2 Sm 2.84, 1 Nd 2.86
S 0.2369 0.3318 0.7061 (multiplicity 8)  2 Sm 2.84, 1 Nd 2.86

- formation energy from raw total energies (eV/atom) = -1.86

***

(9)
A relaxed structure of KNdSm4S8, computed with PBE-GGA.

a b c (Å): 8.3873 8.3873 20.6962
angles (deg): 90.00 90.00 120.00
With the nearest neighbours (Å) after each atom.
Space group R3m (No. 160, hexagonal axes)
Inequivalent atoms, fractional coordinates:
K 0.0000 0.0000 0.0000 (multiplicity 3)  4 S 2.90-2.91
Nd 0.0000 0.0000 0.3696 (multiplicity 3)  6 S 2.77-2.96
Sm 0.0000 0.0000 0.7485 (multiplicity 3)  4 S 2.72-2.73
Sm 0.0110 0.5055 0.8751 (multiplicity 9)  6 S 2.73-2.94
S 0.0000 0.0000 0.1403 (multiplicity 3)  3 Sm 2.73, 1 K 2.90
S 0.0000 0.0000 0.6164 (multiplicity 3)  4 Sm 2.73-2.94
S 0.0182 0.5091 0.1268 (multiplicity 9)  3 Sm 2.72-2.94, 1 Nd 2.96
S 0.1872 0.3745 0.9506 (multiplicity 9)  2 Sm 2.73, 1 Nd 2.77, 1 K 2.91

- formation energy from raw total energies (eV/atom) = -1.91

***

(10)
A relaxed structure of K4Nd3SnS8, computed with PBE-GGA.

a b c (Å): 8.3329 8.3329 22.1633
angles (deg): 90.00 90.00 120.00
With the nearest neighbours (Å) after each atom.
Space group R-3m (No. 166, hexagonal axes)
Inequivalent atoms, fractional coordinates:
K 0.0000 0.0000 0.0000 (multiplicity 3)  6 S 3.29
K 0.0000 0.5000 0.0000 (multiplicity 9)  6 S 3.23
Nd 0.0000 0.5000 0.5000 (multiplicity 9)  6 S 2.86
Sn 0.0000 0.0000 0.5000 (multiplicity 3)  6 S 2.80
S 0.0000 0.0000 0.2363 (multiplicity 6)  3 Nd 2.86
S 0.0074 0.5037 0.2348 (multiplicity 18)  1 Sn 2.80, 2 Nd 2.86

- formation energy from raw total energies (eV/atom) = -1.56

***

(11)
A relaxed structure of K3Nd3SnS8, computed with PBE-GGA.

a b c (Å): 8.2122 8.2122 22.6160
angles (deg): 90.00 90.00 120.00
With the nearest neighbours (Å) after each atom.
Space group R-3m (No. 166, hexagonal axes)
Inequivalent atoms, fractional coordinates:
K 0.0000 0.5000 0.0000 (multiplicity 9)  6 S 3.24-3.25
Nd 0.0000 0.5000 0.5000 (multiplicity 9)  6 S 2.83-2.88
Sn 0.0000 0.0000 0.5000 (multiplicity 3)  6 S 2.65
S 0.0000 0.0000 0.2352 (multiplicity 6)  3 Nd 2.83
S 0.0249 0.5125 0.2322 (multiplicity 18)  1 Sn 2.65, 2 Nd 2.88

- formation energy from raw total energies (eV/atom) = -1.53

***

(12)
A relaxed structure of K2Nd2SnS6, computed with PBE-GGA.

a b c (Å): 7.0716 12.1057 7.9363
angles (deg): 90.00 107.19 90.00
With the nearest neighbours (Å) after each atom.
Space group C2/m (No. 12)
Inequivalent atoms, fractional coordinates:
K 0.0000 0.1694 0.0000 (multiplicity 4)  6 S 3.23-3.36
Nd 0.0000 0.3326 0.5000 (multiplicity 4)  6 S 2.83-2.88
Sn 0.0000 0.0000 0.5000 (multiplicity 2)  6 S 2.59-2.66
S 0.2221 0.1565 0.6983 (multiplicity 8)  1 Sn 2.66, 2 Nd 2.83-2.86
S 0.2360 0.0000 0.3057 (multiplicity 4)  1 Sn 2.59, 2 Nd 2.88

- formation energy from raw total energies (eV/atom) = -1.41

***

(13)
A relaxed structure of K2Nd2TaS6, computed with PBE-GGA.

a b c (Å): 6.9322 11.7887 7.9121
angles (deg): 90.00 107.47 90.00
With the nearest neighbours (Å) after each atom.
Space group C2/m (No. 12)
Inequivalent atoms, fractional coordinates:
K 0.0000 0.1722 0.0000 (multiplicity 4)  6 S 3.18-3.34
Nd 0.0000 0.3338 0.5000 (multiplicity 4)  6 S 2.83-2.85
Ta 0.0000 0.0000 0.5000 (multiplicity 2)  6 S 2.52-2.53
S 0.2178 0.1501 0.6969 (multiplicity 8)  1 Ta 2.53, 1 Nd 2.83
S 0.2275 0.0000 0.3042 (multiplicity 4)  1 Ta 2.52

- formation energy from raw total energies (eV/atom) = -1.53

***

(14)
A relaxed structure of K3Nd3TaS8, computed with PBE-GGA.

a b c (Å): 8.0782 8.0782 22.6534
angles (deg): 90.00 90.00 120.00
With the nearest neighbours (Å) after each atom.
Space group R-3m (No. 166, hexagonal axes)
Inequivalent atoms, fractional coordinates:
K 0.0000 0.5000 0.0000 (multiplicity 9)  6 S 3.19-3.22
Nd 0.0000 0.5000 0.5000 (multiplicity 9)  6 S 2.83-2.86
Ta 0.0000 0.0000 0.5000 (multiplicity 3)  6 S 2.54
S 0.0000 0.0000 0.2375 (multiplicity 6)  3 Nd 2.83
S 0.0356 0.5178 0.2305 (multiplicity 18)  1 Ta 2.54

- formation energy from raw total energies (eV/atom) = -1.62

***

(15)
A relaxed structure of K4Nd3TaS8, computed with PBE-GGA.

a b c (Å): 8.1028 8.1028 22.2416
angles (deg): 90.00 90.00 120.00
With the nearest neighbours (Å) after each atom.
Space group R-3m (No. 166, hexagonal axes)
Inequivalent atoms, fractional coordinates:
K 0.0000 0.0000 0.0000 (multiplicity 3)  6 S 3.38
K 0.0000 0.5000 0.0000 (multiplicity 9)  6 S 3.15-3.16
Nd 0.0000 0.5000 0.5000 (multiplicity 9)  6 S 2.83-2.86
Ta 0.0000 0.0000 0.5000 (multiplicity 3)  6 S 2.60
S 0.0000 0.0000 0.2382 (multiplicity 6)  3 Nd 2.83, 3 K 3.15
S 0.0290 0.5145 0.2334 (multiplicity 18)  1 Ta 2.60, 2 Nd 2.86

- formation energy from raw total energies (eV/atom) = -1.57

***

(16)
A relaxed structure of KTb4NdS8, computed with PBE-GGA.

a b c (Å): 8.2517 8.2517 20.5576
angles (deg): 90.00 90.00 120.00
With the nearest neighbours (Å) after each atom.
Space group R3m (No. 160, hexagonal axes)
Inequivalent atoms, fractional coordinates:
K 0.0000 0.0000 0.0000 (multiplicity 3)  4 S 2.87-2.88
Tb 0.0000 0.0000 0.7467 (multiplicity 3)  4 S 2.67-2.71
Tb 0.0115 0.5058 0.8737 (multiplicity 9)  6 S 2.68-2.90
Nd 0.0000 0.0000 0.3680 (multiplicity 3)  6 S 2.76-2.95
S 0.0000 0.0000 0.1396 (multiplicity 3)  3 Tb 2.69, 1 K 2.87
S 0.0000 0.0000 0.6150 (multiplicity 3)  4 Tb 2.71-2.90
S 0.0157 0.5078 0.1263 (multiplicity 9)  3 Tb 2.67-2.90, 1 Nd 2.95
S 0.1864 0.3728 0.9474 (multiplicity 9)  2 Tb 2.68, 1 Nd 2.76, 1 K 2.88

- formation energy from raw total energies (eV/atom) = -1.93

***

(17)
A relaxed structure of KTbNd2S4, computed with PBE-GGA.

a b c (Å): 7.1143 4.0570 7.1515
angles (deg): 90.00 108.76 90.00
With the nearest neighbours (Å) after each atom.
Space group P2/m (No. 10)
Inequivalent atoms, fractional coordinates:
K 0.0000 0.0000 0.0000 (multiplicity 1)  6 S 2.95-2.99
Tb 0.0000 0.5000 0.5000 (multiplicity 1)  6 S 2.85
Nd 0.5000 0.0000 0.5000 (multiplicity 1)  6 S 2.82-2.85
Nd 0.5000 0.5000 0.0000 (multiplicity 1)  6 S 2.96
S 0.2454 0.0000 0.7367 (multiplicity 2)  3 Nd 2.85-2.96, 2 Tb 2.85, 1 K 2.95
S 0.2589 0.5000 0.2684 (multiplicity 2)  3 Nd 2.82-2.96, 1 Tb 2.85, 2 K 2.99

- formation energy from raw total energies (eV/atom) = -1.88

***

(18)
A relaxed structure of KNdTeS, computed with PBE-GGA.

a b c (Å): 4.3873 4.3873 23.6494
angles (deg): 90.00 90.00 120.00
With the nearest neighbours (Å) after each atom.
Space group R3m (No. 160, hexagonal axes)
Inequivalent atoms, fractional coordinates:
K 0.0000 0.0000 0.0000 (multiplicity 3)  3 S 3.34, 3 Te 3.48
Nd 0.0000 0.0000 0.4845 (multiplicity 3)  3 S 2.90, 3 Te 3.18
Te 0.0000 0.0000 0.2322 (multiplicity 3)  3 Nd 3.18, 3 K 3.48
S 0.0000 0.0000 0.7586 (multiplicity 3)  3 Nd 2.90

- formation energy from raw total energies (eV/atom) = -1.61

***

(19)
A relaxed structure of K3NdTh2S6, computed with PBE-GGA.

a b c (Å): 7.1596 12.3992 7.8428
angles (deg): 90.00 107.72 90.00
With the nearest neighbours (Å) after each atom.
Space group C2/m (No. 12)
Inequivalent atoms, fractional coordinates:
K 0.0000 0.0000 0.0000 (multiplicity 2)  6 S 3.17-3.23
K 0.0000 0.3351 0.0000 (multiplicity 4)  6 S 3.19-3.23
Nd 0.0000 0.5000 0.5000 (multiplicity 2)  6 S 2.91
Th 0.0000 0.1668 0.5000 (multiplicity 4)  6 S 2.84
S 0.2302 0.0000 0.7121 (multiplicity 4)  2 Th 2.84, 1 Nd 2.91, 1 K 3.17
S 0.2411 0.3297 0.7122 (multiplicity 8)  2 Th 2.84, 1 Nd 2.91

- formation energy from raw total energies (eV/atom) = -1.74

***

(20)
A relaxed structure of K2NdTiS4, computed with PBE-GGA.

a b c (Å): 7.2933 7.2933 9.2921
angles (deg): 90.00 90.00 90.00
With the nearest neighbours (Å) after each atom.
Space group I-4 (No. 82)
Inequivalent atoms, fractional coordinates:
K 0.0000 0.0000 0.0000 (multiplicity 2)  4 S 3.20
K 0.0000 0.5000 0.2500 (multiplicity 2)  4 S 3.17
Nd 0.0000 0.5000 0.7500 (multiplicity 2)  4 S 2.71
Ti 0.0000 0.0000 0.5000 (multiplicity 2)  4 S 2.37
S 0.1809 0.7678 0.6070 (multiplicity 8)  1 Ti 2.37

- formation energy from raw total energies (eV/atom) = -1.39